# TaPWCl2 PBE relaxed
# D(E_F) = 1.343 states/eV/atom
# Energy above the lowest structure with this stoichiometry = 18.1 kJ per mole of atoms
# Energy relative to the elements, uncorrected = 1.1299 eV per atom
# Magnetic moment = 3.85 μB per formula unit
# Energy = -5.65 eV per atom
data_TaPWCl2
_space_group_name_H-M_alt 'P 1'
_space_group_IT_number 1
_cell_length_a 4.6321
_cell_length_b 4.6321
_cell_length_c 4.9665
_cell_angle_alpha 90.00
_cell_angle_beta 90.00
_cell_angle_gamma 90.00
loop_
_space_group_symop_operation_xyz
'x,y,z'
loop_
_atom_site_label
_atom_site_type_symbol
_atom_site_fract_x
_atom_site_fract_y
_atom_site_fract_z
Ta1 Ta 0.0000 0.0000 0.0000
P1 P 0.5000 0.5000 0.0000
W1 W 0.5000 0.5000 0.5000
Cl1 Cl 0.0000 0.5000 0.5000
Cl2 Cl 0.5000 0.0000 0.5000

# TaPWCl2 PBE relaxed
# D(E_F) = 0.656 states/eV/atom
# Energy above the lowest structure with this stoichiometry = 0.0 kJ per mole of atoms
# Energy relative to the elements, uncorrected = 0.9422 eV per atom
# Magnetic moment = 4.69 μB per formula unit
# Energy = -5.84 eV per atom
data_TaPWCl2
_space_group_name_H-M_alt 'P 1'
_space_group_IT_number 1
_cell_length_a 4.6773
_cell_length_b 4.6773
_cell_length_c 5.1518
_cell_angle_alpha 90.00
_cell_angle_beta 90.00
_cell_angle_gamma 90.00
loop_
_space_group_symop_operation_xyz
'x,y,z'
loop_
_atom_site_label
_atom_site_type_symbol
_atom_site_fract_x
_atom_site_fract_y
_atom_site_fract_z
Ta1 Ta 0.0000 0.0000 0.0000
P1 P 0.0000 0.0000 0.5000
W1 W 0.5000 0.5000 0.5000
Cl1 Cl 0.0000 0.5000 0.0000
Cl2 Cl 0.5000 0.0000 0.0000

# YTaP2Cl PBE relaxed
# D(E_F) = 0.283 states/eV/atom
# Energy above the lowest structure with this stoichiometry = 0.0 kJ per mole of atoms
# Energy relative to the elements, uncorrected = -0.4484 eV per atom
# Magnetic moment = 0.00 μB per formula unit
# Energy = -6.65 eV per atom
data_YTaP2Cl
_space_group_name_H-M_alt 'P 1'
_space_group_IT_number 1
_cell_length_a 4.8975
_cell_length_b 4.8975
_cell_length_c 4.6384
_cell_angle_alpha 90.00
_cell_angle_beta 90.00
_cell_angle_gamma 90.00
loop_
_space_group_symop_operation_xyz
'x,y,z'
loop_
_atom_site_label
_atom_site_type_symbol
_atom_site_fract_x
_atom_site_fract_y
_atom_site_fract_z
Y1 Y 0.0000 0.0000 0.0000
Ta1 Ta 0.5000 0.5000 0.5000
P1 P 0.0000 0.5000 0.5000
P2 P 0.5000 0.0000 0.5000
Cl1 Cl 0.5000 0.5000 0.0000

# YTaPCl2 PBE relaxed
# D(E_F) = 0.948 states/eV/atom
# Energy above the lowest structure with this stoichiometry = 0.0 kJ per mole of atoms
# Energy relative to the elements, uncorrected = -0.3762 eV per atom
# Magnetic moment = 0.52 μB per formula unit
# Energy = -5.86 eV per atom
data_YTaPCl2
_space_group_name_H-M_alt 'P 1'
_space_group_IT_number 1
_cell_length_a 4.7370
_cell_length_b 4.7370
_cell_length_c 5.0230
_cell_angle_alpha 90.00
_cell_angle_beta 90.00
_cell_angle_gamma 90.00
loop_
_space_group_symop_operation_xyz
'x,y,z'
loop_
_atom_site_label
_atom_site_type_symbol
_atom_site_fract_x
_atom_site_fract_y
_atom_site_fract_z
Y1 Y 0.0000 0.0000 0.0000
Ta1 Ta 0.5000 0.5000 0.5000
P1 P 0.5000 0.5000 0.0000
Cl1 Cl 0.0000 0.5000 0.5000
Cl2 Cl 0.5000 0.0000 0.5000

# YTaPCl2 PBE relaxed
# D(E_F) = 1.546 states/eV/atom
# Energy above the lowest structure with this stoichiometry = 49.3 kJ per mole of atoms
# Energy relative to the elements, uncorrected = 0.1353 eV per atom
# Magnetic moment = 3.00 μB per formula unit
# Energy = -5.35 eV per atom
data_YTaPCl2
_space_group_name_H-M_alt 'P 1'
_space_group_IT_number 1
_cell_length_a 4.9846
_cell_length_b 4.9846
_cell_length_c 5.7406
_cell_angle_alpha 90.00
_cell_angle_beta 90.00
_cell_angle_gamma 90.00
loop_
_space_group_symop_operation_xyz
'x,y,z'
loop_
_atom_site_label
_atom_site_type_symbol
_atom_site_fract_x
_atom_site_fract_y
_atom_site_fract_z
Y1 Y 0.0000 0.0000 0.0000
Ta1 Ta 0.5000 0.5000 0.5000
P1 P 0.0000 0.0000 0.5000
Cl1 Cl 0.0000 0.5000 0.0000
Cl2 Cl 0.5000 0.0000 0.0000

# YTaP2Cl PBE relaxed
# D(E_F) = 1.299 states/eV/atom
# Energy above the lowest structure with this stoichiometry = 115.1 kJ per mole of atoms
# Energy relative to the elements, uncorrected = 0.7449 eV per atom
# Magnetic moment = 2.06 μB per formula unit
# Energy = -5.45 eV per atom
data_YTaP2Cl
_space_group_name_H-M_alt 'P 1'
_space_group_IT_number 1
_cell_length_a 5.2580
_cell_length_b 5.2580
_cell_length_c 4.9012
_cell_angle_alpha 90.00
_cell_angle_beta 90.00
_cell_angle_gamma 90.00
loop_
_space_group_symop_operation_xyz
'x,y,z'
loop_
_atom_site_label
_atom_site_type_symbol
_atom_site_fract_x
_atom_site_fract_y
_atom_site_fract_z
Y1 Y 0.0000 0.0000 0.0000
Ta1 Ta 0.5000 0.5000 0.5000
P1 P 0.0000 0.5000 0.0000
P2 P 0.5000 0.0000 0.0000
Cl1 Cl 0.0000 0.0000 0.5000

# TaZnPCl2 PBE relaxed
# D(E_F) = 0.575 states/eV/atom
# Energy above the lowest structure with this stoichiometry = 0.0 kJ per mole of atoms
# Energy relative to the elements, uncorrected = -0.1464 eV per atom
# Magnetic moment = 0.00 μB per formula unit
# Energy = -4.59 eV per atom
data_TaZnPCl2
_space_group_name_H-M_alt 'P 1'
_space_group_IT_number 1
_cell_length_a 4.8365
_cell_length_b 4.8365
_cell_length_c 4.9534
_cell_angle_alpha 90.00
_cell_angle_beta 90.00
_cell_angle_gamma 90.00
loop_
_space_group_symop_operation_xyz
'x,y,z'
loop_
_atom_site_label
_atom_site_type_symbol
_atom_site_fract_x
_atom_site_fract_y
_atom_site_fract_z
Ta1 Ta 0.0000 0.0000 0.0000
Zn1 Zn 0.5000 0.5000 0.5000
P1 P 0.0000 0.0000 0.5000
Cl1 Cl 0.0000 0.5000 0.0000
Cl2 Cl 0.5000 0.0000 0.0000

# TaZnP2Cl PBE relaxed
# D(E_F) = 0.236 states/eV/atom
# Energy above the lowest structure with this stoichiometry = 0.0 kJ per mole of atoms
# Energy relative to the elements, uncorrected = 0.1335 eV per atom
# Magnetic moment = 0.00 μB per formula unit
# Energy = -5.03 eV per atom
data_TaZnP2Cl
_space_group_name_H-M_alt 'P 1'
_space_group_IT_number 1
_cell_length_a 4.8558
_cell_length_b 4.8558
_cell_length_c 4.8625
_cell_angle_alpha 90.00
_cell_angle_beta 90.00
_cell_angle_gamma 90.00
loop_
_space_group_symop_operation_xyz
'x,y,z'
loop_
_atom_site_label
_atom_site_type_symbol
_atom_site_fract_x
_atom_site_fract_y
_atom_site_fract_z
Ta1 Ta 0.0000 0.0000 0.0000
Zn1 Zn 0.5000 0.5000 0.5000
P1 P 0.0000 0.5000 0.0000
P2 P 0.5000 0.0000 0.0000
Cl1 Cl 0.0000 0.0000 0.5000

# TaZnP2Cl PBE relaxed
# D(E_F) = 1.144 states/eV/atom
# Energy above the lowest structure with this stoichiometry = 84.9 kJ per mole of atoms
# Energy relative to the elements, uncorrected = 1.0139 eV per atom
# Magnetic moment = 0.00 μB per formula unit
# Energy = -4.14 eV per atom
data_TaZnP2Cl
_space_group_name_H-M_alt 'P 1'
_space_group_IT_number 1
_cell_length_a 4.5569
_cell_length_b 4.5569
_cell_length_c 4.5665
_cell_angle_alpha 90.00
_cell_angle_beta 90.00
_cell_angle_gamma 90.00
loop_
_space_group_symop_operation_xyz
'x,y,z'
loop_
_atom_site_label
_atom_site_type_symbol
_atom_site_fract_x
_atom_site_fract_y
_atom_site_fract_z
Ta1 Ta 0.0000 0.0000 0.0000
Zn1 Zn 0.5000 0.5000 0.5000
P1 P 0.0000 0.5000 0.5000
P2 P 0.5000 0.0000 0.5000
Cl1 Cl 0.5000 0.5000 0.0000

# TaZnPCl2 PBE relaxed
# D(E_F) = 0.777 states/eV/atom
# Energy above the lowest structure with this stoichiometry = 80.1 kJ per mole of atoms
# Energy relative to the elements, uncorrected = 0.6833 eV per atom
# Magnetic moment = 1.91 μB per formula unit
# Energy = -3.76 eV per atom
data_TaZnPCl2
_space_group_name_H-M_alt 'P 1'
_space_group_IT_number 1
_cell_length_a 4.2973
_cell_length_b 4.2973
_cell_length_c 6.8585
_cell_angle_alpha 90.00
_cell_angle_beta 90.00
_cell_angle_gamma 90.00
loop_
_space_group_symop_operation_xyz
'x,y,z'
loop_
_atom_site_label
_atom_site_type_symbol
_atom_site_fract_x
_atom_site_fract_y
_atom_site_fract_z
Ta1 Ta 0.0000 0.0000 0.0000
Zn1 Zn 0.5000 0.5000 0.5000
P1 P 0.5000 0.5000 0.0000
Cl1 Cl 0.0000 0.5000 0.5000
Cl2 Cl 0.5000 0.0000 0.5000